VASP calculation (PBE-GGA) on an optimized crystal structure of SrAcPm.

Lattice parameters (Å, degrees): 6.0354 6.0354 6.0354 60.00 60.00 60.00
With the nearest neighbours (Å) after each atom.
Atoms (fractional coordinates):
Ac 0.0000 0.0000 0.0000  4 Pm 3.70, 4 Sr 3.70
Pm 0.2500 0.2500 0.2500  4 Ac 3.70
Sr 0.7500 0.7500 0.7500  4 Ac 3.70

Calculated values
The mass density comes out at 4.910 g/cm³. As for the calculated total energy: -2.7170 eV per atom.

VASP calculation (PBE-GGA) on an optimized crystal structure of AcPmTa.

Lattice parameters (Å, degrees): 5.2362 5.2362 5.2362 60.00 60.00 60.00
With the nearest neighbours (Å) after each atom.
Atoms (fractional coordinates):
Ac 0.0000 0.0000 0.0000  4 Ta 3.21
Pm 0.5000 0.5000 0.5000  4 Ta 3.21
Ta 0.2500 0.2500 0.2500  4 Ac 3.21, 4 Pm 3.21

Calculated values
The mass density comes out at 9.045 g/cm³. As for the calculated total energy: -5.9940 eV per atom. For the energy relative to the elements, the calculation gives 907.2 meV per atom.

VASP calculation (PBE-GGA) on an optimized crystal structure of AcTbPm.

Lattice parameters (Å, degrees): 5.6703 5.6703 5.6703 60.00 60.00 60.00
With the nearest neighbours (Å) after each atom.
Atoms (fractional coordinates):
Ac 0.2500 0.2500 0.2500  4 Pm 3.47
Pm 0.0000 0.0000 0.0000  4 Ac 3.47, 4 Tb 3.47
Tb 0.7500 0.7500 0.7500  4 Pm 3.47

Calculated values
The mass density comes out at 6.839 g/cm³. As for the calculated total energy: -3.8062 eV per atom. For the energy relative to the elements, the calculation gives 687.3 meV per atom.

VASP calculation (PBE-GGA) on an optimized crystal structure of AcPmTl.

Lattice parameters (Å, degrees): 5.4653 5.4653 5.4653 60.00 60.00 60.00
With the nearest neighbours (Å) after each atom.
Atoms (fractional coordinates):
Ac 0.2500 0.2500 0.2500  4 Tl 3.35
Pm 0.7500 0.7500 0.7500  4 Tl 3.35
Tl 0.0000 0.0000 0.0000  4 Pm 3.35, 4 Ac 3.35

Calculated values
The mass density comes out at 8.292 g/cm³. As for the calculated total energy: -3.7832 eV per atom.

VASP calculation (PBE-GGA) on an optimized crystal structure of Ac3Pm2Tl3.

Lattice parameters (Å, degrees): 9.6638 9.6638 6.9940 90.00 90.00 120.00
With the nearest neighbours (Å) after each atom.
Atoms (fractional coordinates):
Ac 0.7564 0.0000 0.2500  3 Tl 3.37-3.43
Ac 0.2436 0.2436 0.2500  3 Tl 3.37-3.43
Ac 0.0000 0.7564 0.2500  3 Tl 3.37-3.43
Ac 0.2436 0.0000 0.7500  3 Tl 3.37-3.43
Ac 0.0000 0.2436 0.7500  3 Tl 3.37-3.43
Ac 0.7564 0.7564 0.7500  3 Tl 3.37-3.43
Pm 0.6667 0.3333 0.0000  6 Tl 3.41, 2 Pm 3.50
Pm 0.3333 0.6667 0.0000  6 Tl 3.41, 2 Pm 3.50
Pm 0.6667 0.3333 0.5000  6 Tl 3.41, 2 Pm 3.50
Pm 0.3333 0.6667 0.5000  6 Tl 3.41, 2 Pm 3.50
Tl 0.4073 0.0000 0.2500  3 Ac 3.37-3.43, 4 Pm 3.41
Tl 0.0000 0.4073 0.2500  3 Ac 3.37-3.43, 4 Pm 3.41
Tl 0.5927 0.5927 0.2500  3 Ac 3.37-3.43, 4 Pm 3.41
Tl 0.5927 0.0000 0.7500  3 Ac 3.37-3.43, 4 Pm 3.41
Tl 0.4073 0.4073 0.7500  3 Ac 3.37-3.43, 4 Pm 3.41
Tl 0.0000 0.5927 0.7500  3 Ac 3.37-3.43, 4 Pm 3.41

Calculated values
The mass density comes out at 9.301 g/cm³. As for the calculated total energy: -3.9084 eV per atom.

VASP calculation (PBE-GGA) on an optimized crystal structure of AcPmTm.

Lattice parameters (Å, degrees): 5.6481 5.6481 5.6481 60.00 60.00 60.00
With the nearest neighbours (Å) after each atom.
Atoms (fractional coordinates):
Ac 0.2500 0.2500 0.2500  4 Tm 3.46
Pm 0.7500 0.7500 0.7500  4 Tm 3.46
Tm 0.0000 0.0000 0.0000  4 Ac 3.46, 4 Pm 3.46

Calculated values
The mass density comes out at 7.050 g/cm³. As for the calculated total energy: -3.7928 eV per atom. For the energy relative to the elements, the calculation gives 649.2 meV per atom.